{
  "formula": "KEr2Cu3Se5",
  "functional": "PBE",
  "state": "relaxed",
  "lattice": [[2.048, -7.202, 0.000], [2.048, 7.202, 0.000], [0.000, 0.000, 16.884]],
  "species": ["K", "K", "Er", "Er", "Er", "Er", "Cu", "Cu", "Cu", "Cu", "Cu", "Cu", "Se", "Se", "Se", "Se", "Se", "Se", "Se", "Se", "Se", "Se"],
  "frac_coords": [[0.062, 0.938, 0.750], [0.938, 0.062, 0.250], [0.192, 0.808, 0.093], [0.192, 0.808, 0.407], [0.808, 0.192, 0.593], [0.808, 0.192, 0.907], [0.340, 0.660, 0.750], [0.416, 0.584, 0.029], [0.416, 0.584, 0.471], [0.584, 0.416, 0.529], [0.584, 0.416, 0.971], [0.660, 0.340, 0.250], [0.166, 0.834, 0.572], [0.166, 0.834, 0.928], [0.250, 0.750, 0.250], [0.440, 0.560, 0.619], [0.440, 0.560, 0.881], [0.560, 0.440, 0.119], [0.560, 0.440, 0.381], [0.750, 0.250, 0.750], [0.834, 0.166, 0.072], [0.834, 0.166, 0.428]],
  "vol_a3_per_cell": 498.0,
  "total_magnetization_mub_per_atom": 0.000,
  "dft_energy_ev_per_atom": -4.6536
}


{
  "formula": "LuPbAu",
  "functional": "PBE",
  "state": "relaxed",
  "lattice": [[7.715, 0.000, 0.000], [-3.858, 6.682, 0.000], [0.000, 0.000, 4.188]],
  "species": ["Lu", "Lu", "Lu", "Pb", "Pb", "Pb", "Au", "Au", "Au"],
  "frac_coords": [[0.000, 0.603, 0.000], [0.397, 0.397, 0.000], [0.603, 0.000, 0.000], [0.000, 0.266, 0.500], [0.266, 0.000, 0.500], [0.734, 0.734, 0.500], [0.000, 0.000, 0.000], [0.333, 0.667, 0.500], [0.667, 0.333, 0.500]],
  "vol_a3_per_cell": 215.9,
  "total_magnetization_mub_per_atom": 0.000,
  "dft_energy_ev_per_atom": -4.3257
}


- Which formula does entry 2 have?
  LuPbAu